1.
# SrPmNd2 PBE relaxed
# total energy: -3.82 eV per atom
# total moment: 0.00 μB per formula unit
# energy of formation: 0.176 eV per atom
# SG: No. 166
data_SrPmNd2
_cell_length_a 3.700
_cell_length_b 3.700
_cell_length_c 39.477
_cell_angle_alpha 90.00
_cell_angle_beta 90.00
_cell_angle_gamma 120.00
_space_group_name_H-M_alt 'P 1'
_space_group_IT_number 1
loop_
_space_group_symop_operation_xyz
'x,y,z'
loop_
_atom_site_label
_atom_site_fract_x
_atom_site_fract_y
_atom_site_fract_z
Sr1 0.000 0.000 0.000
Sr2 0.333 0.667 0.667
Sr3 0.667 0.333 0.333
Pm1 0.000 0.000 0.500
Pm2 0.333 0.667 0.167
Pm3 0.667 0.333 0.833
Nd1 0.000 0.000 0.092
Nd2 0.000 0.000 0.908
Nd3 0.333 0.667 0.574
Nd4 0.333 0.667 0.759
Nd5 0.667 0.333 0.241
Nd6 0.667 0.333 0.426

***

2.
# SrPm2Nd PBE relaxed
# total energy: -3.80 eV per atom
# total moment: 0.00 μB per formula unit
# energy of formation: 0.185 eV per atom
# SG: No. 166
data_SrPm2Nd
_cell_length_a 3.691
_cell_length_b 3.691
_cell_length_c 39.332
_cell_angle_alpha 90.00
_cell_angle_beta 90.00
_cell_angle_gamma 120.00
_space_group_name_H-M_alt 'P 1'
_space_group_IT_number 1
loop_
_space_group_symop_operation_xyz
'x,y,z'
loop_
_atom_site_label
_atom_site_fract_x
_atom_site_fract_y
_atom_site_fract_z
Sr1 0.000 0.000 0.000
Sr2 0.333 0.667 0.667
Sr3 0.667 0.333 0.333
Pm1 0.000 0.000 0.092
Pm2 0.000 0.000 0.908
Pm3 0.333 0.667 0.575
Pm4 0.333 0.667 0.759
Pm5 0.667 0.333 0.241
Pm6 0.667 0.333 0.425
Nd1 0.000 0.000 0.500
Nd2 0.333 0.667 0.167
Nd3 0.667 0.333 0.833

***

3.
# SrPmNd2 PBE relaxed
# total energy: -3.91 eV per atom
# total moment: 0.00 μB per formula unit
# energy of formation: 0.086 eV per atom
# SG: No. 160
data_SrPmNd2
_cell_length_a 3.769
_cell_length_b 3.769
_cell_length_c 37.433
_cell_angle_alpha 90.00
_cell_angle_beta 90.00
_cell_angle_gamma 120.00
_space_group_name_H-M_alt 'P 1'
_space_group_IT_number 1
loop_
_space_group_symop_operation_xyz
'x,y,z'
loop_
_atom_site_label
_atom_site_fract_x
_atom_site_fract_y
_atom_site_fract_z
Sr1 0.000 0.000 0.000
Sr2 0.333 0.667 0.667
Sr3 0.667 0.333 0.333
Pm1 0.000 0.000 0.166
Pm2 0.333 0.667 0.833
Pm3 0.667 0.333 0.499
Nd1 0.000 0.000 0.577
Nd2 0.000 0.000 0.755
Nd3 0.333 0.667 0.244
Nd4 0.333 0.667 0.422
Nd5 0.667 0.333 0.089
Nd6 0.667 0.333 0.911

***

4.
# SrPm2Nd PBE relaxed
# total energy: -3.89 eV per atom
# total moment: 0.00 μB per formula unit
# energy of formation: 0.093 eV per atom
# SG: No. 160
data_SrPm2Nd
_cell_length_a 3.764
_cell_length_b 3.764
_cell_length_c 37.317
_cell_angle_alpha 90.00
_cell_angle_beta 90.00
_cell_angle_gamma 120.00
_space_group_name_H-M_alt 'P 1'
_space_group_IT_number 1
loop_
_space_group_symop_operation_xyz
'x,y,z'
loop_
_atom_site_label
_atom_site_fract_x
_atom_site_fract_y
_atom_site_fract_z
Sr1 0.000 0.000 0.000
Sr2 0.333 0.667 0.667
Sr3 0.667 0.333 0.333
Pm1 0.000 0.000 0.577
Pm2 0.000 0.000 0.755
Pm3 0.333 0.667 0.244
Pm4 0.333 0.667 0.422
Pm5 0.667 0.333 0.088
Pm6 0.667 0.333 0.911
Nd1 0.000 0.000 0.166
Nd2 0.333 0.667 0.832
Nd3 0.667 0.333 0.499